(1)
Computed, not measured: a relaxed Rb4Ac3RhO8 crystal at the GGA-PBE level of DFT.

It has space group R-3m (No. 166, hexagonal axes), with a = 7.4320 Å, b = 7.4320 Å, c = 19.8305 Å, α = 90.00°, β = 90.00° and γ = 120.00°. The inequivalent atoms are Rb at (0.0000, 0.0000, 0.0000), Rb at (0.0000, 0.5000, 0.0000), Ac at (0.0000, 0.5000, 0.5000), Rh at (0.0000, 0.0000, 0.5000), O at (0.0000, 0.0000, 0.2303) and O at (0.0276, 0.5138, 0.2270).

The raw formation energy is -2.00 eV per atom.

=====

(2)
Computed, not measured: a relaxed La2TcNi crystal at the GGA-PBE level of DFT.

It has space group I-4m2 (No. 119), with a = 4.179 Å, b = 4.179 Å, c = 9.924 Å, α = 90.00°, β = 90.00° and γ = 90.00°. The inequivalent atoms are La at (0.000, 0.000, 0.000), La at (0.000, 0.500, 0.250), Tc at (0.000, 0.000, 0.500) and Ni at (0.000, 0.500, 0.750).

Its density of states at the Fermi level is 8.2 states/eV/cell. The formation energy is 0.2156 eV per atom.

=====

(3)
Computed, not measured: a relaxed Cr4CoPt crystal at the GGA-PBE level of DFT.

It has space group F-43m (No. 216), with a = 6.654 Å, b = 6.654 Å, c = 6.654 Å, α = 90.00°, β = 90.00° and γ = 90.00°. The inequivalent atoms are Cr at (0.123, 0.123, 0.377), Co at (0.250, 0.250, 0.750) and Pt at (0.000, 0.000, 0.000).

Its density of states at the Fermi level is 29.6 states/eV/cell. The formation energy is 0.0784 eV per atom.

=====

Repeat the second record exactly.
Computed, not measured: a relaxed La2TcNi crystal at the GGA-PBE level of DFT.

It has space group I-4m2 (No. 119), with a = 4.179 Å, b = 4.179 Å, c = 9.924 Å, α = 90.00°, β = 90.00° and γ = 90.00°. The inequivalent atoms are La at (0.000, 0.000, 0.000), La at (0.000, 0.500, 0.250), Tc at (0.000, 0.000, 0.500) and Ni at (0.000, 0.500, 0.750).

Its density of states at the Fermi level is 8.2 states/eV/cell. The formation energy is 0.2156 eV per atom.

=====

What did the second record say?
Computed, not measured: a relaxed La2TcNi crystal at the GGA-PBE level of DFT.

It has space group I-4m2 (No. 119), with a = 4.179 Å, b = 4.179 Å, c = 9.924 Å, α = 90.00°, β = 90.00° and γ = 90.00°. The inequivalent atoms are La at (0.000, 0.000, 0.000), La at (0.000, 0.500, 0.250), Tc at (0.000, 0.000, 0.500) and Ni at (0.000, 0.500, 0.750).

Its density of states at the Fermi level is 8.2 states/eV/cell. The formation energy is 0.2156 eV per atom.